# CaZr2Re

Crystalline CaZr2Re at its relaxed geometry (GGA-PBE, Alexandria via LeMat-Bulk).

Values from the calculation:
SG = R-3m
Magnetization = 0.0 μB per cell
ΔH_f (0 K) = 0.2676 eV/atom

Lattice parameters (Å, degrees): 10.198 10.198 10.198 18.86 18.86 18.86
Element x y z (fractional)
Ca  0.000  0.000  0.000
Zr  0.232  0.232  0.232
Zr  0.768  0.768  0.768
Re  0.500  0.500  0.500